# 1
Compound: BaTe5
Source: Alexandria via LeMat-Bulk
Functional: GGA-PBE
Structure: optimized geometry

Output
Energy above the most stable polymorph in this dataset, eV/f.u.: 0.03
ΔE_f (raw), eV/atom: -0.4920
Size of the total moment, μB/atom: 0.000

Cell: 6.531 10.848 7.429 Å, 90.00 103.27 90.00°
Fractional coordinates of all 12 atoms:
Ba 0.209 0.250 0.424
Ba 0.791 0.750 0.576
Te 0.133 0.615 0.970
Te 0.133 0.885 0.970
Te 0.235 0.750 0.348
Te 0.383 0.549 0.636
Te 0.383 0.951 0.636
Te 0.617 0.049 0.364
Te 0.617 0.451 0.364
Te 0.765 0.250 0.652
Te 0.867 0.115 0.030
Te 0.867 0.385 0.030


# 2
Compound: CdTc2Ag
Source: Alexandria via LeMat-Bulk
Functional: GGA-PBE
Structure: optimized geometry

Output
Energy of formation from the pure elements, eV per formula unit: 1.27
Size of the total moment, μB/atom: 0.000

Cell: 2.908 3.816 6.126 Å, 90.00 91.86 90.00°
Fractional coordinates of all 4 atoms:
Cd 0.000 0.000 0.000
Tc 0.530 0.500 0.294
Tc 0.959 0.000 0.465
Ag 0.485 0.500 0.750


# 3
Compound: La2TbY4Sc
Source: Alexandria via LeMat-Bulk
Functional: GGA-PBE
Structure: optimized geometry

Output
Energy of formation from the pure elements, eV per formula unit: 0.42
Size of the total moment, μB/atom: 0.000

Cell: 5.070 5.083 10.097 Å, 90.00 90.00 90.00°
Fractional coordinates of all 8 atoms:
La 0.000 0.000 0.000
La 0.500 0.500 0.500
Tb 0.000 0.000 0.500
Y 0.000 0.500 0.245
Y 0.000 0.500 0.755
Y 0.500 0.000 0.246
Y 0.500 0.000 0.754
Sc 0.500 0.500 0.000


# 4
Compound: LiVPOs2
Source: Alexandria via LeMat-Bulk
Functional: GGA-PBE
Structure: optimized geometry

Output
Energy of formation from the pure elements, eV per formula unit: 6.66
Size of the total moment, μB/atom: 0.333

Cell: 4.178 4.178 3.872 Å, 90.00 90.00 90.00°
Fractional coordinates of all 5 atoms:
Li 0.000 0.000 0.000
V 0.000 0.000 0.500
P 0.500 0.500 0.500
Os 0.000 0.500 0.000
Os 0.500 0.000 0.000